Record 1
# K3MnH5, optimized geometry, DFT PBE
# Calculated total energy (eV per atom): -3.348
# Density (Mg/m³): 1.8
data_K3MnH5
_chemical_formula_sum 'K12 Mn4 H20'
_space_group_name_H-M_alt 'I 4/m c m'
_space_group_IT_number 140
_space_group_name_Hall '-I 4 2c'
_cell_length_a 7.5297
_cell_length_b 7.5297
_cell_length_c 11.5800
_cell_angle_alpha 90.00
_cell_angle_beta 90.00
_cell_angle_gamma 90.00
loop_
_atom_site_label
_atom_site_fract_x
_atom_site_fract_y
_atom_site_fract_z
K1 0.0000 0.0000 0.2500
K2 0.1830 0.3170 0.0000
Mn1 0.0000 0.5000 0.2500
H1 0.0000 0.0000 0.0000
H2 0.1291 0.3709 0.3432

Record 2
# KMnH, optimized geometry, DFT PBE
# Density (Mg/m³): 3.0
# D(E_F) (states/eV/cell): 2.6
# Relative energy among the computed polymorphs (kJ/mol of formula units): 58
data_KMnH
_chemical_formula_sum 'K2 Mn2 H2'
_space_group_name_H-M_alt 'C 1 m 1'
_space_group_IT_number 8
_space_group_name_Hall 'C -2y'
_cell_length_a 5.5337
_cell_length_b 3.1835
_cell_length_c 6.0027
_cell_angle_alpha 90.00
_cell_angle_beta 90.11
_cell_angle_gamma 90.00
loop_
_atom_site_label
_atom_site_fract_x
_atom_site_fract_y
_atom_site_fract_z
K1 0.0000 0.0000 0.0000
Mn1 0.3317 0.0000 0.4998
H1 0.4987 0.5000 0.5000

Record 3
# KMnH, optimized geometry, DFT PBE
# Density (Mg/m³): 2.4
# D(E_F) (states/eV/cell): 5.0
# Relative energy among the computed polymorphs (kJ/mol of formula units): 0
data_KMnH
_chemical_formula_sum 'K4 Mn4 H4'
_space_group_name_H-M_alt 'C 1 m 1'
_space_group_IT_number 8
_space_group_name_Hall 'C -2y'
_cell_length_a 12.4838
_cell_length_b 3.8497
_cell_length_c 6.1262
_cell_angle_alpha 90.00
_cell_angle_beta 117.66
_cell_angle_gamma 90.00
loop_
_atom_site_label
_atom_site_fract_x
_atom_site_fract_y
_atom_site_fract_z
K1 0.0000 0.0000 0.0000
K2 0.1867 0.0000 0.7074
Mn1 0.2765 0.5000 0.2972
Mn2 0.3876 0.0000 0.3931
H1 0.1645 0.5000 0.0054
H2 0.4315 0.5000 0.3845

Record 4
# KMnH, optimized geometry, DFT PBE
# Density (Mg/m³): 2.9
# D(E_F) (states/eV/cell): 3.6
# Relative energy among the computed polymorphs (kJ/mol of formula units): 64
data_KMnH
_chemical_formula_sum 'K3 Mn3 H3'
_space_group_name_H-M_alt 'R 3 m'
_space_group_IT_number 160
_space_group_name_Hall 'R 3 -2"'
_cell_length_a 3.2084
_cell_length_b 3.2084
_cell_length_c 18.3430
_cell_angle_alpha 90.00
_cell_angle_beta 90.00
_cell_angle_gamma 120.00
loop_
_atom_site_label
_atom_site_fract_x
_atom_site_fract_y
_atom_site_fract_z
K1 0.0000 0.0000 0.0000
Mn1 0.0000 0.0000 0.4960
H1 0.0000 0.0000 0.1579

Record 5
# K3Mn2H9, optimized geometry, DFT PBE
# Calculated total energy (eV per atom): -3.782
# Density (Mg/m³): 2.0
data_K3Mn2H9
_chemical_formula_sum 'K18 Mn12 H54'
_space_group_name_H-M_alt 'R -3 c'
_space_group_IT_number 167
_space_group_name_Hall '-R 3 2"c'
_cell_length_a 9.9166
_cell_length_b 9.9166
_cell_length_c 13.8549
_cell_angle_alpha 90.00
_cell_angle_beta 90.00
_cell_angle_gamma 120.00
loop_
_atom_site_label
_atom_site_fract_x
_atom_site_fract_y
_atom_site_fract_z
K1 0.0000 0.3448 0.2500
Mn1 0.0000 0.0000 0.1531
H1 0.0000 0.1175 0.7500
H2 0.0051 0.1610 0.3960

Record 6
# KMnH, optimized geometry, DFT PBE
# Density (Mg/m³): 2.5
# D(E_F) (states/eV/cell): 5.0
# Relative energy among the computed polymorphs (kJ/mol of formula units): 0
data_KMnH
_chemical_formula_sum 'K4 Mn4 H4'
_space_group_name_H-M_alt 'C 1 m 1'
_space_group_IT_number 8
_space_group_name_Hall 'C -2y'
_cell_length_a 12.9310
_cell_length_b 3.4946
_cell_length_c 6.3006
_cell_angle_alpha 90.00
_cell_angle_beta 117.32
_cell_angle_gamma 90.00
loop_
_atom_site_label
_atom_site_fract_x
_atom_site_fract_y
_atom_site_fract_z
K1 0.0000 0.0000 0.0000
K2 0.1870 0.0000 0.6317
Mn1 0.2935 0.5000 0.2267
Mn2 0.4051 0.0000 0.4154
H1 0.0171 0.5000 0.3521
H2 0.3973 0.0000 0.6675

Record 7
# K3MnH6, optimized geometry, DFT PBE
# Calculated total energy (eV per atom): -3.359
# Density (Mg/m³): 2.0
# D(E_F) (states/eV/cell): 12.1
data_K3MnH6
_chemical_formula_sum 'K6 Mn2 H12'
_space_group_name_H-M_alt 'I 4/m m m'
_space_group_IT_number 139
_space_group_name_Hall '-I 4 2'
_cell_length_a 5.7000
_cell_length_b 5.7000
_cell_length_c 9.0409
_cell_angle_alpha 90.00
_cell_angle_beta 90.00
_cell_angle_gamma 90.00
loop_
_atom_site_label
_atom_site_fract_x
_atom_site_fract_y
_atom_site_fract_z
K1 0.0000 0.0000 0.0000
K2 0.0000 0.5000 0.2500
Mn1 0.0000 0.0000 0.5000
H1 0.0000 0.0000 0.3109
H2 0.0000 0.2887 0.5000

Record 8
# K2MnH5, optimized geometry, DFT PBE
# Density (Mg/m³): 1.9
# D(E_F) (states/eV/cell): 2.3
# Relative energy among the computed polymorphs (kJ/mol of formula units): 0
data_K2MnH5
_chemical_formula_sum 'K2 Mn1 H5'
_space_group_name_H-M_alt 'P 4/m m m'
_space_group_IT_number 123
_space_group_name_Hall '-P 4 2'
_cell_length_a 5.8783
_cell_length_b 5.8783
_cell_length_c 3.5209
_cell_angle_alpha 90.00
_cell_angle_beta 90.00
_cell_angle_gamma 90.00
loop_
_atom_site_label
_atom_site_fract_x
_atom_site_fract_y
_atom_site_fract_z
K1 0.0000 0.5000 0.0000
Mn1 0.0000 0.0000 0.5000
H1 0.0000 0.0000 0.0000
H2 0.2019 0.2019 0.5000

Record 9
# K2MnH2, optimized geometry, DFT PBE
# Density (Mg/m³): 2.1
# D(E_F) (states/eV/cell): 3.5
# Relative energy among the computed polymorphs (kJ/mol of formula units): 3
data_K2MnH2
_chemical_formula_sum 'K4 Mn2 H4'
_space_group_name_H-M_alt 'P 4/m b m'
_space_group_IT_number 127
_space_group_name_Hall '-P 4 2ab'
_cell_length_a 8.2850
_cell_length_b 8.2850
_cell_length_c 3.0803
_cell_angle_alpha 90.00
_cell_angle_beta 90.00
_cell_angle_gamma 90.00
loop_
_atom_site_label
_atom_site_fract_x
_atom_site_fract_y
_atom_site_fract_z
K1 0.1432 0.3568 0.0000
Mn1 0.0000 0.0000 0.0000
H1 0.1485 0.6485 0.5000

Record 10
# KMnH2, optimized geometry, DFT PBE
# Density (Mg/m³): 2.6
# D(E_F) (states/eV/cell): 10.6
# Relative energy among the computed polymorphs (kJ/mol of formula units): 246
data_KMnH2
_chemical_formula_sum 'K4 Mn4 H8'
_space_group_name_H-M_alt 'F m -3 m'
_space_group_IT_number 225
_space_group_name_Hall '-F 4 2 3'
_cell_length_a 6.2806
_cell_length_b 6.2806
_cell_length_c 6.2806
_cell_angle_alpha 90.00
_cell_angle_beta 90.00
_cell_angle_gamma 90.00
loop_
_atom_site_label
_atom_site_fract_x
_atom_site_fract_y
_atom_site_fract_z
K1 0.0000 0.0000 0.0000
Mn1 0.0000 0.0000 0.5000
H1 0.2500 0.2500 0.2500

Record 11
# KNa2MnH6, optimized geometry, DFT PBE
# Calculated total energy (eV per atom): -3.419
# Density (Mg/m³): 1.8
# D(E_F) (states/eV/cell): 5.9
data_KNa2MnH6
_chemical_formula_sum 'K2 Na4 Mn2 H12'
_space_group_name_H-M_alt 'P m m n'
_space_group_IT_number 59
_cell_length_a 5.2076
_cell_length_b 7.8205
_cell_length_c 6.6896
_cell_angle_alpha 90.00
_cell_angle_beta 90.00
_cell_angle_gamma 90.00
loop_
_space_group_symop_operation_xyz
'x,y,z'
'-x,-y,-z'
'-x+1/2,-y+1/2,z'
'x+1/2,y+1/2,-z'
'x+1/2,-y,-z'
'-x+1/2,y,z'
'-x,y+1/2,-z'
'x,-y+1/2,z'
loop_
_atom_site_label
_atom_site_fract_x
_atom_site_fract_y
_atom_site_fract_z
K1 0.2500 0.2500 0.1456
Na1 0.2500 0.0467 0.6376
Mn1 0.2500 0.7500 0.3294
H1 0.0042 0.7500 0.1749
H2 0.0371 0.7500 0.5161
H3 0.2500 0.5396 0.3156

Record 12
# K2NaMnH6, optimized geometry, DFT PBE
# Calculated total energy (eV per atom): -3.423
# Density (Mg/m³): 2.1
# D(E_F) (states/eV/cell): 29.1
data_K2NaMnH6
_chemical_formula_sum 'K8 Na4 Mn4 H24'
_space_group_name_H-M_alt 'F m -3 m'
_space_group_IT_number 225
_space_group_name_Hall '-F 4 2 3'
_cell_length_a 8.0020
_cell_length_b 8.0020
_cell_length_c 8.0020
_cell_angle_alpha 90.00
_cell_angle_beta 90.00
_cell_angle_gamma 90.00
loop_
_atom_site_label
_atom_site_fract_x
_atom_site_fract_y
_atom_site_fract_z
K1 0.2500 0.2500 0.2500
Na1 0.0000 0.0000 0.0000
Mn1 0.0000 0.0000 0.5000
H1 0.0000 0.0000 0.2900